First-principles (GGA-PBE) data for a geometry-optimized Li2CdPt structure, as listed in Alexandria.

Calculated values
Space group   No. 65
Crystal system   orthorhombic
Calculated formation energy   -0.415 eV/atom

```
Li2CdPt
1.0
4.373 0.452 0.000
-0.472 4.371 0.000
0.000 0.000 3.085
Li Cd Pt
2 1 1
direct
0.000 0.000 0.000 Li
0.500 0.500 0.000 Li
0.000 0.500 0.500 Cd
0.500 0.000 0.500 Pt
```